No. 1
Material: Ac3Tb2Sm3
Method: DFT, PBE
State: relaxed

Cell lengths 6.140, 6.132, 7.904 Å; angles 90.00, 90.00, 90.00 degrees
Element x y z (fractional)
Tb 0.000 0.000 0.240
Sm 0.500 0.500 0.240
Sm 0.000 0.500 0.000
Tb 0.000 0.000 0.760
Sm 0.500 0.500 0.760
Ac 0.000 0.500 0.500
Ac 0.500 0.000 0.500
Ac 0.500 0.000 0.000

Properties
DOS at the Fermi energy: 15.41 states/eV/f.u.
uncorrected energy: -34.84 eV for the cell shown
ΔH_f (0 K): 87 kJ/mol of formula units
crystal system: orthorhombic

No. 2
Material: AcTb7Sm12
Method: DFT, PBE
State: relaxed

Cell lengths 8.826, 8.826, 8.826 Å; angles 88.31, 88.31, 88.31 degrees
Element x y z (fractional)
Sm 0.624 0.139 0.495
Tb 0.390 0.062 0.155
Tb 0.500 0.500 0.500
Tb 0.845 0.610 0.938
Tb 0.610 0.938 0.845
Tb 0.062 0.155 0.390
Tb 0.938 0.845 0.610
Ac 0.000 0.000 0.000
Sm 0.858 0.276 0.723
Sm 0.505 0.376 0.861
Sm 0.142 0.724 0.277
Sm 0.139 0.495 0.624
Sm 0.376 0.861 0.505
Sm 0.723 0.858 0.276
Sm 0.276 0.723 0.858
Tb 0.155 0.390 0.062
Sm 0.277 0.142 0.724
Sm 0.724 0.277 0.142
Sm 0.861 0.505 0.376
Sm 0.495 0.624 0.139

Properties
DOS at the Fermi energy: 36.27 states/eV/f.u.
uncorrected energy: -88.65 eV for the cell shown
ΔH_f (0 K): 434 kJ/mol of formula units
crystal system: trigonal
excess energy over the best structure of this formula in the dataset: 0 meV per atom

No. 3
Material: AcTb3Sm
Method: DFT, PBE
State: relaxed

Cell lengths 6.740, 11.459, 11.459 Å; angles 52.50, 86.39, 86.39 degrees
Element x y z (fractional)
Tb 0.601 0.760 0.951
Sm 0.841 0.796 0.643
Sm 0.659 0.357 0.204
Tb 0.583 0.091 0.580
Tb 0.399 0.240 0.049
Tb 0.917 0.420 0.909
Ac 0.750 0.748 0.252
Sm 0.159 0.204 0.357
Tb 0.105 0.629 0.522
Sm 0.341 0.643 0.796
Tb 0.417 0.909 0.420
Ac 0.750 0.108 0.892
Tb 0.083 0.580 0.091
Tb 0.395 0.478 0.371
Ac 0.250 0.252 0.748
Tb 0.895 0.371 0.478
Tb 0.899 0.049 0.240
Tb 0.101 0.951 0.760
Ac 0.250 0.892 0.108
Tb 0.605 0.522 0.629

Properties
DOS at the Fermi energy: 6.26 states/eV/f.u.
uncorrected energy: -89.14 eV for the cell shown
ΔH_f (0 K): 42 kJ/mol of formula units
crystal system: monoclinic
excess energy over the best structure of this formula in the dataset: 0 meV per atom

No. 4
Material: AcTb3Sm4
Method: DFT, PBE
State: relaxed

Cell lengths 6.392, 7.418, 11.708 Å; angles 90.00, 90.00, 90.00 degrees
Element x y z (fractional)
Sm 0.478 0.378 0.000
Sm 0.647 0.623 0.754
Tb 0.981 0.129 0.500
Tb 0.646 0.126 0.248
Tb 0.146 0.874 0.748
Sm 0.647 0.623 0.246
Sm 0.978 0.622 0.500
Ac 0.988 0.125 0.000
Sm 0.482 0.374 0.500
Tb 0.646 0.126 0.752
Tb 0.481 0.871 0.000
Sm 0.147 0.377 0.254
Sm 0.982 0.626 0.000
Tb 0.146 0.874 0.252
Ac 0.488 0.875 0.500
Sm 0.147 0.377 0.746

Properties
DOS at the Fermi energy: 13.78 states/eV/f.u.
uncorrected energy: -73.11 eV for the cell shown
ΔH_f (0 K): 31 kJ/mol of formula units
crystal system: orthorhombic
excess energy over the best structure of this formula in the dataset: 0 meV per atom

No. 5
Material: Ac5Tb6Sm2
Method: DFT, PBE
State: relaxed

Cell lengths 3.771, 11.869, 21.882 Å; angles 90.00, 90.00, 90.00 degrees
Element x y z (fractional)
Ac 0.500 0.181 0.953
Tb 0.000 0.591 0.128
Sm 0.000 0.662 0.707
Ac 0.500 0.000 0.500
Ac 0.500 0.412 0.735
Tb 0.000 0.083 0.092
Ac 0.500 0.500 0.000
Tb 0.000 0.091 0.372
Tb 0.000 0.917 0.908
Tb 0.000 0.583 0.408
Ac 0.500 0.819 0.047
Sm 0.000 0.838 0.207
Ac 0.500 0.912 0.765
Tb 0.000 0.417 0.592
Ac 0.500 0.588 0.265
Tb 0.500 0.661 0.854
Tb 0.500 0.161 0.646
Tb 0.500 0.839 0.354
Tb 0.000 0.409 0.872
Sm 0.000 0.162 0.793
Tb 0.000 0.909 0.628
Sm 0.000 0.338 0.293
Ac 0.500 0.088 0.235
Tb 0.500 0.339 0.146
Ac 0.500 0.319 0.453
Ac 0.500 0.681 0.547

Properties
DOS at the Fermi energy: 16.46 states/eV/f.u.
uncorrected energy: -112.27 eV for the cell shown
ΔH_f (0 K): 157 kJ/mol of formula units
crystal system: orthorhombic

No. 6
Material: AcTb7Sm4
Method: DFT, PBE
State: relaxed

Cell lengths 6.101, 11.556, 6.877 Å; angles 83.15, 63.67, 74.69 degrees
Element x y z (fractional)
Sm 0.251 0.319 0.178
Sm 0.630 0.224 0.517
Tb 0.500 0.000 0.000
Tb 0.945 0.339 0.771
Sm 0.370 0.776 0.483
Ac 0.000 0.000 0.000
Tb 0.216 0.080 0.488
Tb 0.055 0.661 0.229
Tb 0.784 0.920 0.512
Tb 0.633 0.495 0.239
Tb 0.367 0.505 0.761
Sm 0.749 0.681 0.822

Properties
DOS at the Fermi energy: 19.68 states/eV/f.u.
uncorrected energy: -51.93 eV for the cell shown
ΔH_f (0 K): 335 kJ/mol of formula units
crystal system: monoclinic
excess energy over the best structure of this formula in the dataset: 273 meV per atom